# NbCdSn2 (GGA-PBE, optimized geometry)
# M_tot ... 0.00 μB/f.u.
# Space-group type ... No. 166
# Final energy ... -4.68 eV/atom
# Crystal system ... trigonal
data_NbCdSn2
_chemical_formula_sum 'Nb1 Cd1 Sn2'
_cell_length_a 11.077
_cell_length_b 11.077
_cell_length_c 11.077
_cell_angle_alpha 16.40
_cell_angle_beta 16.40
_cell_angle_gamma 16.40
_symmetry_space_group_name_H-M 'P 1'
_symmetry_Int_Tables_number 1
_symmetry_space_group_name_Hall 'P 1'
loop_
_atom_site_label
_atom_site_type_symbol
_atom_site_fract_x
_atom_site_fract_y
_atom_site_fract_z
Nb1 Nb 0.000 0.000 0.000
Cd1 Cd 0.500 0.500 0.500
Sn1 Sn 0.406 0.406 0.406
Sn2 Sn 0.594 0.594 0.594

=====

# NbCdSn3 (GGA-PBE, optimized geometry)
# M_tot ... 3.36 μB/f.u.
# Space-group type ... No. 221
# Final energy ... -3.42 eV/atom
# Crystal system ... cubic
# ΔE to the lowest computed polymorph ... 880.3 meV per atom
data_NbCdSn3
_chemical_formula_sum 'Nb1 Cd1 Sn3'
_cell_length_a 5.401
_cell_length_b 5.401
_cell_length_c 5.401
_cell_angle_alpha 90.00
_cell_angle_beta 90.00
_cell_angle_gamma 90.00
_symmetry_space_group_name_H-M 'P 1'
_symmetry_Int_Tables_number 1
_symmetry_space_group_name_Hall 'P 1'
loop_
_atom_site_label
_atom_site_type_symbol
_atom_site_fract_x
_atom_site_fract_y
_atom_site_fract_z
Nb1 Nb 0.000 0.000 0.000
Cd1 Cd 0.500 0.500 0.500
Sn1 Sn 0.000 0.500 0.500
Sn2 Sn 0.500 0.000 0.500
Sn3 Sn 0.500 0.500 0.000

=====

- Which value of final energy does entry 1 give?
  -4.68 eV/atom

=====

- Among the records above, which one has the lowest final energy?
  NbCdSn2

=====

- What is the M_tot in the second record?
  3.36 μB/f.u.

=====

Please write out number 1 again, unchanged.
# NbCdSn2 (GGA-PBE, optimized geometry)
# M_tot ... 0.00 μB/f.u.
# Space-group type ... No. 166
# Final energy ... -4.68 eV/atom
# Crystal system ... trigonal
data_NbCdSn2
_chemical_formula_sum 'Nb1 Cd1 Sn2'
_cell_length_a 11.077
_cell_length_b 11.077
_cell_length_c 11.077
_cell_angle_alpha 16.40
_cell_angle_beta 16.40
_cell_angle_gamma 16.40
_symmetry_space_group_name_H-M 'P 1'
_symmetry_Int_Tables_number 1
_symmetry_space_group_name_Hall 'P 1'
loop_
_atom_site_label
_atom_site_type_symbol
_atom_site_fract_x
_atom_site_fract_y
_atom_site_fract_z
Nb1 Nb 0.000 0.000 0.000
Cd1 Cd 0.500 0.500 0.500
Sn1 Sn 0.406 0.406 0.406
Sn2 Sn 0.594 0.594 0.594